## Pm2Ge4Rh3 (PBE-GGA)

Data for crystalline Pm2Ge4Rh3 at its relaxed geometry.

Energy of formation (kJ/mol of atoms): -69.1
E_tot (eV per cell): -56.47
SG: No. 69
ΔE to the lowest computed polymorph (kJ/mol of formula units): 85.4
Spin magnetization (Bohr magnetons per cell): 0.00

Unit cell a=7.906 b=6.809 c=5.642 alpha=78.22 beta=57.47 gamma=44.31
Positions (direct):
Pm 0.133 0.133 0.867
Pm 0.867 0.867 0.133
Ge 0.172 0.513 0.487
Ge 0.487 0.828 0.172
Ge 0.513 0.172 0.828
Ge 0.828 0.487 0.513
Rh 0.000 0.000 0.500
Rh 0.500 0.500 0.000
Rh 0.500 0.500 0.500

## Pm5Ge2Rh2 (PBE-GGA)

Data for crystalline Pm5Ge2Rh2 at its relaxed geometry.

Energy of formation (kJ/mol of atoms): -64.8
E_tot (eV per cell): -107.46
SG: No. 64
Spin magnetization (Bohr magnetons per cell): 0.00

Unit cell a=8.550 b=8.550 c=7.706 alpha=90.00 beta=90.00 gamma=53.46
Positions (direct):
Pm 0.000 0.000 0.000
Pm 0.033 0.677 0.666
Pm 0.177 0.533 0.166
Pm 0.323 0.967 0.666
Pm 0.467 0.823 0.166
Pm 0.500 0.500 0.500
Pm 0.533 0.177 0.834
Pm 0.677 0.033 0.334
Pm 0.823 0.467 0.834
Pm 0.967 0.323 0.334
Ge 0.121 0.879 0.381
Ge 0.379 0.621 0.881
Ge 0.621 0.379 0.119
Ge 0.879 0.121 0.619
Rh 0.201 0.201 0.000
Rh 0.299 0.299 0.500
Rh 0.701 0.701 0.500
Rh 0.799 0.799 0.000